{
  "formula": "AgSnAs2Pd",
  "functional": "PBE",
  "state": "relaxed",
  "cell": [[4.941, 0.000, 0.000], [0.000, 5.304, 0.000], [0.000, 0.000, 4.941]],
  "species": ["Ag", "Pd", "Sn", "As", "As"],
  "fractional_positions": [[0.000, 0.000, 0.000], [0.500, 0.500, 0.500], [0.000, 0.500, 0.000], [0.000, 0.000, 0.500], [0.500, 0.000, 0.000]],
  "spacegroup": "P4/mmm (123)",
  "e_form_mev_per_atom": 845,
  "final_energy_ev_per_atom": -3.424
}

{
  "formula": "Li4TmGa",
  "functional": "PBE",
  "state": "relaxed",
  "cell": [[-0.809, -5.006, 1.689], [3.267, -3.918, -1.592], [3.393, -2.228, 3.476]],
  "species": ["Li", "Li", "Li", "Li", "Tm", "Ga"],
  "fractional_positions": [[0.626, 0.626, 0.121], [0.121, 0.626, 0.626], [0.626, 0.626, 0.626], [0.626, 0.121, 0.626], [0.250, 0.250, 0.250], [0.000, 0.000, 0.000]],
  "spacegroup": "F-43m (216)",
  "e_form_mev_per_atom": -75,
  "final_energy_ev_per_atom": -2.600
}